Run w
PBE-GGA Y2Sc, relaxed; DOS at the Fermi energy = 21.79 states/eV/cell; crystal system = tetragonal
1.0
3.397 0.000 0.000
0.000 3.397 0.000
0.000 0.000 31.642
Y Sc
8 4
direct
0.000 0.250 0.299 Y
0.000 0.250 0.451 Y
0.000 0.750 0.549 Y
0.000 0.750 0.701 Y
0.500 0.250 0.049 Y
0.500 0.250 0.201 Y
0.500 0.750 0.799 Y
0.500 0.750 0.951 Y
0.000 0.250 0.875 Sc
0.000 0.750 0.125 Sc
0.500 0.250 0.625 Sc
0.500 0.750 0.375 Sc

Run x
PBE-GGA Y2Sc, relaxed; DOS at the Fermi energy = 22.35 states/eV/cell; crystal system = orthorhombic
1.0
6.674 0.000 0.000
0.000 5.440 0.000
0.000 0.000 9.835
Y Sc
8 4
direct
0.041 0.250 0.219 Y
0.195 0.250 0.555 Y
0.305 0.750 0.055 Y
0.459 0.750 0.719 Y
0.541 0.250 0.281 Y
0.695 0.250 0.945 Y
0.805 0.750 0.445 Y
0.959 0.750 0.781 Y
0.203 0.250 0.882 Sc
0.297 0.750 0.382 Sc
0.703 0.250 0.618 Sc
0.797 0.750 0.118 Sc

Run y
PBE-GGA Y2Sc, relaxed; DOS at the Fermi energy = 4.85 states/eV/cell; crystal system = trigonal
1.0
3.482 0.000 0.000
-1.741 3.016 0.000
0.000 0.000 8.446
Y Sc
2 1
direct
0.333 0.667 0.323 Y
0.667 0.333 0.677 Y
0.000 0.000 0.000 Sc

Of all the structures shown, which is most stable? run y, and run w is the least stable.